## Y2InRe (GGA-PBE)

Data for a relaxed structure of Y2InRe.

Unit cell a=6.1875 b=6.1875 c=5.0169 alpha=66.16 beta=66.16 gamma=33.41
Last column: nearest neighbours and their distance in Å.
Fractional coordinates of all 4 atoms:
In 0.5397 0.5397 0.4604  2 Re 2.81
Re 0.2419 0.2419 0.2583  2 In 2.81, 6 Y 2.96-3.08
Y 0.9625 0.9625 0.0374  2 Re 2.96, 4 In 3.18-3.19
Y 0.7560 0.7560 0.7439  4 Re 3.08, 2 Y 3.35, 2 In 3.42


## YIn2Re (GGA-PBE)

Data for a relaxed structure of YIn2Re.

Unit cell a=3.0667 b=3.0667 c=9.8240 alpha=90.00 beta=90.00 gamma=110.19
Last column: nearest neighbours and their distance in Å.
Fractional coordinates of all 4 atoms:
In 0.0000 0.0000 0.0259  2 Re 2.82, 4 In 3.07
In 0.0000 0.0000 0.4741  2 Re 2.82, 4 In 3.07
Re 0.5000 0.5000 0.2500  4 In 2.82, 4 Re 3.07
Y 0.5000 0.5000 0.7500  4 Y 3.07, 4 In 3.23


## YInRe2 (GGA-PBE)

Data for a relaxed structure of YInRe2.

Unit cell a=4.4539 b=3.1381 c=5.7755 alpha=75.94 beta=90.00 gamma=90.00
Last column: nearest neighbours and their distance in Å.
Fractional coordinates of all 4 atoms:
In 0.5000 0.8550 0.7595  5 Re 2.83-3.15, 4 Y 3.07-3.10, 2 In 3.14
Re 0.0000 0.9723 0.0411  2 Re 2.56, 1 Y 2.72, 2 In 2.83
Re 0.5000 0.1915 0.1997  2 Re 2.56, 1 In 2.87
Y 0.0000 0.4812 0.4997  1 Re 2.72


## YInRe2 (GGA-PBE)

Data for a relaxed structure of YInRe2.

Unit cell a=10.1020 b=10.1020 c=10.1020 alpha=16.95 beta=16.95 gamma=16.95
Last column: nearest neighbours and their distance in Å.
Fractional coordinates of all 4 atoms:
In 0.7416 0.7416 0.7416  3 Re 2.97, 6 In 2.98
Re 0.9940 0.9940 0.9940  3 Re 2.64
Re 0.2602 0.2602 0.2602  3 Re 2.64
Y 0.5042 0.5042 0.5042  6 Y 2.98, 3 Re 3.17


## YIn2Re (GGA-PBE)

Data for a relaxed structure of YIn2Re.

Unit cell a=4.6453 b=3.1915 c=5.8975 alpha=79.25 beta=90.00 gamma=90.00
Last column: nearest neighbours and their distance in Å.
Fractional coordinates of all 4 atoms:
In 0.0000 0.1357 0.9923  4 In 2.88-3.19, 2 Re 3.07-3.17, 4 Y 3.13
In 0.5000 0.1534 0.2793  4 In 2.88-3.19, 4 Re 2.89-3.20, 1 Y 2.89
Re 0.0000 0.4936 0.4725  6 In 2.89-3.20, 2 Y 3.02, 2 Re 3.19
Y 0.5000 0.7174 0.7559  5 In 2.89-3.13, 2 Re 3.02, 2 Y 3.19


## YIn2Re (GGA-PBE)

Data for a relaxed structure of YIn2Re.

Unit cell a=5.2254 b=5.2254 c=5.2254 alpha=129.16 beta=129.16 gamma=74.75
Last column: nearest neighbours and their distance in Å.
Fractional coordinates of all 4 atoms:
In 0.0000 0.0000 0.0000  4 Re 3.06, 4 Y 3.06, 4 In 3.17
In 0.5000 0.5000 0.0000  4 Y 3.06, 4 Re 3.06, 4 In 3.17
Re 0.2500 0.7500 0.5000  8 In 3.06, 4 Y 3.17
Y 0.7500 0.2500 0.5000  8 In 3.06, 4 Re 3.17


Number 1: energy relative to the elements 0.069 eV/atom. Number 2: energy relative to the elements 0.396 eV/atom. Number 3: energy relative to the elements 0.297 eV/atom. Number 4: energy relative to the elements 0.408 eV/atom. Number 5: energy relative to the elements 0.304 eV/atom. Number 6: energy relative to the elements 0.129 eV/atom.